Record 1
GGA-PBE Hf8Zn2Os, optimized geometry; formation enthalpy at 0 K = -89.2 meV per atom; space group = No. 12; crystal system = monoclinic; total energy = -8.581 eV/atom
1.0
-0.936 -4.022 2.187
5.140 -3.126 -3.551
2.582 5.038 5.379
Hf Zn Os
8 2 1
direct
0.818 0.741 0.635
0.027 0.790 0.054
0.593 0.439 0.185
0.182 0.259 0.365
0.973 0.210 0.946
0.667 0.929 0.334
0.333 0.071 0.666
0.407 0.561 0.815
0.813 0.341 0.626
0.187 0.659 0.374
0.500 0.000 0.000



Record 2
GGA-PBE RbOs, optimized geometry; formation enthalpy at 0 K = 3103.6 meV per atom; space group = No. 194; crystal system = hexagonal; energy above the most stable polymorph in this dataset = 2189.2 meV/atom; total energy = -2.995 eV/atom
1.0
-0.233 2.438 5.691
-0.274 -6.144 -0.751
6.867 -0.359 0.435
Os Rb
2 2
direct
0.667 0.333 0.250
0.333 0.667 0.750
0.667 0.333 0.750
0.333 0.667 0.250



Record 3
GGA-PBE Ac4SnSb2Se, optimized geometry; space group = No. 10; crystal system = monoclinic; formation energy without anion corrections = -121 kJ per mole of atoms; total energy = -5.270 eV/atom
1.0
4.737 0.000 0.000
0.000 8.224 -0.171
0.000 2.886 7.666
Ac Sn Se Sb
4 1 1 2
direct
0.500 0.253 0.750
0.000 0.747 0.749
0.500 0.747 0.250
0.000 0.253 0.251
0.500 0.500 0.000
0.000 0.500 0.500
0.500 0.000 0.500
0.000 0.000 0.000



Record 4
GGA-PBE ZrTcN2F, optimized geometry; space group = No. 123; crystal system = tetragonal; energy above the most stable polymorph in this dataset = 0.0 meV/atom; formation energy without anion corrections = -27 kJ per mole of atoms; total energy = -7.769 eV/atom
1.0
3.933 0.000 0.000
0.000 3.933 0.000
0.000 0.000 3.941
N F Tc Zr
2 1 1 1
direct
0.500 0.000 0.000
0.000 0.500 0.000
0.000 0.000 0.500
0.000 0.000 0.000
0.500 0.500 0.500



Record 5
GGA-PBE Ac2P3Pt12Au, optimized geometry; formation enthalpy at 0 K = -394.6 meV per atom; space group = No. 166; crystal system = trigonal; total energy = -5.962 eV/atom
1.0
-5.066 -5.817 1.479
1.643 -4.500 6.224
-4.626 0.973 6.272
P Ac Pt Au
3 2 12 1
direct
0.000 0.500 0.000
0.000 0.000 0.500
0.500 0.000 0.000
0.387 0.387 0.387
0.613 0.613 0.613
0.124 0.124 0.617
0.876 0.876 0.383
0.124 0.617 0.124
0.617 0.124 0.124
0.339 0.339 0.900
0.383 0.876 0.876
0.100 0.661 0.661
0.661 0.100 0.661
0.900 0.339 0.339
0.876 0.383 0.876
0.339 0.900 0.339
0.661 0.661 0.100
0.000 0.000 0.000



Record 6
GGA-PBE AcTm2MoN4, optimized geometry; space group = No. 63; crystal system = orthorhombic; formation energy without anion corrections = -112 kJ per mole of atoms; total energy = -8.311 eV/atom
1.0
-2.394 -1.936 -1.586
4.975 0.043 -3.782
4.226 -9.688 5.448
Tm Mo Ac N
4 2 2 8
direct
0.629 0.259 0.459
0.371 0.741 0.541
0.629 0.259 0.041
0.371 0.741 0.959
0.823 0.645 0.750
0.177 0.355 0.250
0.083 0.165 0.750
0.917 0.835 0.250
0.260 0.521 0.388
0.580 0.160 0.250
0.740 0.479 0.888
0.000 0.000 0.000
0.740 0.479 0.612
0.260 0.521 0.112
0.420 0.840 0.750
0.000 0.000 0.500



Look up the total energy of the first one. -8.581 eV/atom